[1]
Compound: AgPtRhO6
Source: Alexandria via LeMat-Bulk
Functional: PBE
Structure: optimized geometry

Density of states at the Fermi level = 7.4 states/eV/f.u.
Final energy = -98.10 eV/cell
Volume = 12.3 Å³/atom
Energy relative to the elements, uncorrected = -0.340 eV per atom

```
data_AgPtRhO6
_chemical_formula_sum 'Ag2 Pt2 Rh2 O12'
_cell_length_a 5.2601
_cell_length_b 5.2601
_cell_length_c 9.2263
_cell_angle_alpha 90.00
_cell_angle_beta 90.00
_cell_angle_gamma 120.00
_space_group_name_H-M_alt 'P -3 1 c'
_space_group_IT_number 163
_space_group_name_Hall '-P 3 2c'
loop_
_atom_site_label
_atom_site_fract_x
_atom_site_fract_y
_atom_site_fract_z
Ag1 0.0000 0.0000 0.0000
Pt1 0.3333 0.6667 0.2500
Rh1 0.3333 0.6667 0.7500
O1 0.0024 0.3719 0.6326
```


[2]
Compound: Ag3PtRh3O8
Source: Alexandria via LeMat-Bulk
Functional: PBE
Structure: optimized geometry

Final energy = -167.11 eV/cell
Volume = 14.2 Å³/atom
Energy relative to the elements, uncorrected = -0.483 eV per atom

```
data_Ag3PtRh3O8
_chemical_formula_sum 'Ag6 Pt2 Rh6 O16'
_cell_length_a 10.840
_cell_length_b 6.273
_cell_length_c 7.326
_cell_angle_alpha 90.00
_cell_angle_beta 120.91
_cell_angle_gamma 90.00
_space_group_name_H-M_alt 'C 1 2/m 1'
_space_group_IT_number 12
loop_
_space_group_symop_operation_xyz
'x,y,z'
'-x,-y,-z'
'-x,y,-z'
'x,-y,z'
'x+1/2,y+1/2,z'
'-x+1/2,-y+1/2,-z'
'-x+1/2,y+1/2,-z'
'x+1/2,-y+1/2,z'
loop_
_atom_site_label
_atom_site_fract_x
_atom_site_fract_y
_atom_site_fract_z
Ag1 0.000 0.000 0.000
Ag2 0.250 0.250 0.000
Pt1 0.000 0.500 0.500
Rh1 0.000 0.000 0.500
Rh2 0.250 0.250 0.500
O1 0.111 0.000 0.339
O2 0.112 0.500 0.342
O3 0.138 0.251 0.660
```


[3]
Compound: AgPtS2O8
Source: Alexandria via LeMat-Bulk
Functional: PBE
Structure: optimized geometry

Density of states at the Fermi level = 0.1 states/eV/f.u.
Final energy = -134.59 eV/cell
Volume = 13.9 Å³/atom
Energy relative to the elements, uncorrected = -0.873 eV per atom

```
data_AgPtS2O8
_chemical_formula_sum 'Ag2 Pt2 S4 O16'
_cell_length_a 8.616
_cell_length_b 5.176
_cell_length_c 7.501
_cell_angle_alpha 90.00
_cell_angle_beta 94.49
_cell_angle_gamma 90.00
_space_group_name_H-M_alt 'C 1 2/m 1'
_space_group_IT_number 12
loop_
_space_group_symop_operation_xyz
'x,y,z'
'-x,-y,-z'
'-x,y,-z'
'x,-y,z'
'x+1/2,y+1/2,z'
'-x+1/2,-y+1/2,-z'
'-x+1/2,y+1/2,-z'
'x+1/2,-y+1/2,z'
loop_
_atom_site_label
_atom_site_fract_x
_atom_site_fract_y
_atom_site_fract_z
Ag1 0.000 0.000 0.000
Pt1 0.000 0.000 0.500
S1 0.145 0.500 0.713
O1 0.036 0.262 0.707
O2 0.230 0.500 0.889
O3 0.234 0.500 0.556
```